1.
This record from the Alexandria database describes a relaxed PrNdNiRu crystal. The functional is PBE-GGA.

The structure in POSCAR format:
```
PrNdNiRu
1.0
4.089 0.000 0.000
0.000 4.118 0.000
-2.044 0.000 5.459
Pr Nd Ni Ru
1 1 1 1
direct
0.144 0.000 0.287
0.859 0.500 0.718
0.566 0.500 0.131
0.432 0.000 0.864
```

Summary:
The density of states at the Fermi level is 3.01 states/eV/cell. As for the offset from the most stable computed form: 0.0 meV per atom. As for the crystal system: orthorhombic. As for the total magnetization: 0.00 Bohr magnetons per cell. As for the formation energy: -0.2221 eV/atom.

---

2.
This record from the Alexandria database describes a relaxed PrNdSiNi crystal. The functional is PBE-GGA.

The structure in POSCAR format:
```
PrNdSiNi
1.0
4.437 0.000 0.000
0.000 4.172 0.000
-2.218 0.000 5.070
Pr Nd Si Ni
1 1 1 1
direct
0.147 0.000 0.295
0.856 0.500 0.711
0.554 0.500 0.108
0.443 0.000 0.886
```

Summary:
The density of states at the Fermi level is 3.55 states/eV/cell. For the formation energy from raw total energies, the calculation gives -2.11 eV/f.u. As for the crystal system: orthorhombic. As for the total magnetization: 0.00 Bohr magnetons per cell.

---

3.
This record from the Alexandria database describes a relaxed PrNdTlNi crystal. The functional is PBE-GGA.

The structure in POSCAR format:
```
PrNdTlNi
1.0
5.309 0.000 0.000
2.655 4.598 0.000
2.655 1.533 4.335
Pr Ni Tl Nd
1 1 1 1
direct
0.000 0.000 0.000
0.250 0.250 0.250
0.750 0.750 0.750
0.500 0.500 0.500
```

Summary:
The density of states at the Fermi level is 4.35 states/eV/cell. As for the crystal system: cubic. As for the total magnetization: 0.00 Bohr magnetons per cell. As for the formation energy: -0.1633 eV/atom.

---

4.
This record from the Alexandria database describes a relaxed PrNdZnNi crystal. The functional is PBE-GGA.

The structure in POSCAR format:
```
PrNdZnNi
1.0
5.107 0.000 0.000
2.554 4.423 0.000
2.554 1.474 4.170
Pr Ni Zn Nd
1 1 1 1
direct
0.250 0.250 0.250
0.000 0.000 0.000
0.500 0.500 0.500
0.750 0.750 0.750
```

Summary:
The density of states at the Fermi level is 3.18 states/eV/cell. As for the offset from the most stable computed form: 45.6 meV per atom. As for the crystal system: cubic. As for the total magnetization: 0.00 Bohr magnetons per cell. As for the formation energy: -0.2233 eV/atom.

---

5.
This record from the Alexandria database describes a relaxed PrNdZnNi crystal. The functional is PBE-GGA.

The structure in POSCAR format:
```
PrNdZnNi
1.0
3.927 0.000 0.000
0.000 4.495 0.000
-1.964 0.000 5.516
Pr Nd Zn Ni
1 1 1 1
direct
0.756 0.500 0.511
0.035 0.000 0.070
0.327 0.000 0.655
0.452 0.500 0.904
```

Summary:
The density of states at the Fermi level is 3.41 states/eV/cell. As for the offset from the most stable computed form: 0.0 meV per atom. As for the crystal system: orthorhombic. As for the total magnetization: 0.00 Bohr magnetons per cell. As for the formation energy: -0.2689 eV/atom.

---

6.
This record from the Alexandria database describes a relaxed Nd5Ni2Pt12 crystal. The functional is PBE-GGA.

The structure in POSCAR format:
```
Nd5Ni2Pt12
1.0
6.725 0.001 0.464
-0.234 6.402 3.373
-0.061 -0.361 8.451
Nd Ni Pt
5 2 12
direct
0.572 0.758 0.483
0.051 0.687 0.627
0.500 0.000 0.000
0.949 0.313 0.373
0.428 0.242 0.517
0.000 0.695 0.000
0.000 0.305 0.000
0.092 0.111 0.778
0.755 0.329 0.715
0.755 0.956 0.715
0.349 0.399 0.802
0.349 0.799 0.802
0.694 0.555 0.890
0.306 0.445 0.110
0.651 0.601 0.198
0.651 0.201 0.198
0.245 0.671 0.285
0.245 0.044 0.285
0.908 0.889 0.222
```

Summary:
The density of states at the Fermi level is 12.03 states/eV/cell. As for the crystal system: monoclinic. As for the total magnetization: 0.00 Bohr magnetons per cell. As for the formation energy: -0.7512 eV/atom.

---

7.
This record from the Alexandria database describes a relaxed Nd3NiPt8 crystal. The functional is PBE-GGA.

The structure in POSCAR format:
```
Nd3NiPt8
1.0
5.240 0.000 1.554
2.389 4.663 1.554
0.045 0.028 9.457
Nd Ni Pt
3 1 8
direct
0.621 0.621 0.137
0.013 0.013 0.962
0.490 0.490 0.530
0.145 0.145 0.565
0.562 0.058 0.819
0.060 0.560 0.320
0.562 0.562 0.819
0.060 0.060 0.320
0.810 0.810 0.571
0.311 0.311 0.068
0.058 0.562 0.819
0.560 0.060 0.320
```

Summary:
The density of states at the Fermi level is 12.26 states/eV/cell. As for the crystal system: trigonal. As for the total magnetization: 0.49 Bohr magnetons per cell. As for the formation energy: -0.8274 eV/atom.

---

8.
This record from the Alexandria database describes a relaxed Nd2NiPt crystal. The functional is PBE-GGA.

The structure in POSCAR format:
```
Nd2NiPt
1.0
4.423 0.000 0.000
0.000 5.711 0.052
0.000 -2.781 7.376
Nd Ni Pt
4 2 2
direct
0.750 0.224 0.430
0.250 0.776 0.570
0.250 0.779 0.068
0.750 0.221 0.932
0.250 0.345 0.210
0.750 0.655 0.790
0.750 0.657 0.288
0.250 0.343 0.712
```

Summary:
The density of states at the Fermi level is 5.10 states/eV/cell. As for the crystal system: monoclinic. As for the total magnetization: 0.00 Bohr magnetons per cell. As for the formation energy: -0.7393 eV/atom.

---

9.
This record from the Alexandria database describes a relaxed Nd4Ni3Pt crystal. The functional is PBE-GGA.

The structure in POSCAR format:
```
Nd4Ni3Pt
1.0
-3.022 2.412 -0.285
-2.150 -2.332 3.069
4.179 6.131 7.586
Ni Nd Pt
3 4 1
direct
0.000 0.500 0.571
0.000 0.000 0.431
0.500 0.000 0.918
0.500 0.500 0.367
0.000 0.500 0.857
0.000 0.000 0.140
0.500 0.000 0.637
0.500 0.500 0.078
```

Summary:
The density of states at the Fermi level is 4.64 states/eV/cell. As for the crystal system: orthorhombic. As for the total magnetization: 0.00 Bohr magnetons per cell. As for the formation energy: -0.5272 eV/atom.

---

10.
This record from the Alexandria database describes a relaxed Nd5Ni2Pt crystal. The functional is PBE-GGA.

The structure in POSCAR format:
```
Nd5Ni2Pt
1.0
-5.031 3.224 -4.904
5.865 2.534 -4.351
-0.597 -8.592 1.056
Nd Ni Pt
10 4 2
direct
0.526 0.693 0.719
0.807 0.974 0.281
0.000 0.000 0.000
0.500 0.500 0.000
0.193 0.026 0.719
0.693 0.193 0.719
0.026 0.526 0.719
0.307 0.807 0.281
0.974 0.474 0.281
0.474 0.307 0.281
0.121 0.379 0.000
0.621 0.121 0.000
0.379 0.879 0.000
0.879 0.621 0.000
0.750 0.750 0.500
0.250 0.250 0.500
```

Summary:
The density of states at the Fermi level is 17.73 states/eV/cell. As for the crystal system: tetragonal. As for the total magnetization: 0.00 Bohr magnetons per cell. As for the formation energy: -0.4242 eV/atom.

---

11.
This record from the Alexandria database describes a relaxed NdNiPt crystal. The functional is PBE-GGA.

The structure in POSCAR format:
```
NdNiPt
1.0
-2.626 -1.964 4.222
5.316 -0.431 -0.371
0.291 5.314 -0.508
Nd Ni Pt
2 2 2
direct
0.250 0.121 0.871
0.750 0.879 0.129
0.000 0.500 0.500
0.500 0.000 0.500
0.500 0.500 0.500
0.000 0.500 0.000
```

Summary:
The density of states at the Fermi level is 3.24 states/eV/cell. As for the crystal system: orthorhombic. As for the total magnetization: 0.00 Bohr magnetons per cell. As for the formation energy: -0.7427 eV/atom.

---

12.
This record from the Alexandria database describes a relaxed Nd12Ni6Pt crystal. The functional is PBE-GGA.

The structure in POSCAR format:
```
Nd12Ni6Pt
1.0
-4.826 5.630 -4.308
2.248 -6.422 -5.220
-4.473 -3.126 6.616
Nd Ni Pt
12 6 1
direct
0.300 0.116 0.816
0.300 0.484 0.184
0.700 0.516 0.816
0.700 0.884 0.184
0.116 0.816 0.300
0.484 0.184 0.300
0.516 0.816 0.700
0.884 0.184 0.700
0.816 0.300 0.116
0.184 0.300 0.484
0.816 0.700 0.516
0.184 0.700 0.884
0.376 0.500 0.876
0.624 0.500 0.124
0.500 0.876 0.376
0.500 0.124 0.624
0.876 0.376 0.500
0.124 0.624 0.500
0.000 0.000 0.000
```

Summary:
The density of states at the Fermi level is 18.10 states/eV/cell. As for the offset from the most stable computed form: 0.0 meV per atom. As for the crystal system: cubic. As for the total magnetization: 0.00 Bohr magnetons per cell. As for the formation energy: -0.2933 eV/atom.

---

13.
This record from the Alexandria database describes a relaxed Nd3NiPt crystal. The functional is PBE-GGA.

The structure in POSCAR format:
```
Nd3NiPt
1.0
-0.186 -2.526 -3.098
7.891 1.981 0.498
1.916 -6.278 5.005
Nd Ni Pt
6 2 2
direct
0.076 0.184 0.394
0.420 0.871 0.657
0.624 0.283 0.764
0.968 0.970 0.028
0.254 0.540 0.021
0.790 0.614 0.400
0.238 0.510 0.651
0.805 0.645 0.770
0.426 0.886 0.286
0.618 0.268 0.135
```

Summary:
The density of states at the Fermi level is 9.74 states/eV/cell. As for the offset from the most stable computed form: 0.0 meV per atom. As for the crystal system: monoclinic. As for the total magnetization: 0.00 Bohr magnetons per cell. As for the formation energy: -0.5635 eV/atom.

---

14.
This record from the Alexandria database describes a relaxed Nd8NiPt2 crystal. The functional is PBE-GGA.

The structure in POSCAR format:
```
Nd8NiPt2
1.0
-5.084 2.086 3.535
-2.483 -6.690 -2.637
5.228 -1.417 5.342
Nd Ni Pt
8 1 2
direct
0.609 0.357 0.086
0.609 0.086 0.357
0.185 0.364 0.364
0.965 0.169 0.830
0.965 0.830 0.169
0.785 0.639 0.639
0.333 0.921 0.644
0.333 0.644 0.921
0.239 0.012 0.012
0.488 0.689 0.323
0.488 0.323 0.689
```

Summary:
The density of states at the Fermi level is 12.22 states/eV/cell. As for the offset from the most stable computed form: 78.8 meV per atom. As for the crystal system: monoclinic. As for the total magnetization: 0.00 Bohr magnetons per cell. As for the formation energy: -0.3668 eV/atom.

---

15.
This record from the Alexandria database describes a relaxed NdNi4Pt crystal. The functional is PBE-GGA.

The structure in POSCAR format:
```
NdNi4Pt
1.0
-3.122 1.370 -3.616
-1.587 -3.347 -3.314
-4.727 -1.533 0.085
Ni Nd Pt
4 1 1
direct
0.623 0.623 0.130
0.623 0.130 0.623
0.623 0.623 0.623
0.130 0.623 0.623
0.000 0.000 0.000
0.250 0.250 0.250
```

Summary:
The density of states at the Fermi level is 9.31 states/eV/cell. As for the crystal system: cubic. As for the total magnetization: 1.72 Bohr magnetons per cell. As for the formation energy: -0.2878 eV/atom.

---

16.
This record from the Alexandria database describes a relaxed Nd2Ni9Pt crystal. The functional is PBE-GGA.

The structure in POSCAR format:
```
Nd2Ni9Pt
1.0
-1.888 -1.239 -4.401
-2.109 -4.430 -0.628
-8.495 1.208 0.525
Nd Ni Pt
2 9 1
direct
0.868 0.868 0.396
0.132 0.132 0.604
0.667 0.667 0.998
0.333 0.333 0.002
0.500 0.500 0.500
0.421 0.421 0.238
0.920 0.421 0.238
0.421 0.920 0.238
0.579 0.579 0.762
0.579 0.080 0.762
0.080 0.579 0.762
0.000 0.000 0.000
```

Summary:
The density of states at the Fermi level is 13.12 states/eV/cell. As for the crystal system: trigonal. As for the total magnetization: 3.28 Bohr magnetons per cell. As for the formation energy: -0.1211 eV/atom.

---

17.
This record from the Alexandria database describes a relaxed Nd3Ni4Pt4 crystal. The functional is PBE-GGA.

The structure in POSCAR format:
```
Nd3Ni4Pt4
1.0
6.506 0.000 0.000
-2.169 6.134 0.000
-2.169 -3.067 5.312
Nd Ni Pt
3 4 4
direct
0.500 0.500 0.000
0.500 0.000 0.500
0.000 0.500 0.500
0.000 0.229 0.000
0.000 0.000 0.229
0.229 0.000 0.000
0.771 0.771 0.771
0.000 0.596 0.000
0.596 0.000 0.000
0.000 0.000 0.596
0.404 0.404 0.404
```

Summary:
The density of states at the Fermi level is 11.78 states/eV/cell. As for the crystal system: cubic. As for the total magnetization: 1.16 Bohr magnetons per cell. As for the formation energy: -0.5624 eV/atom.

---

18.
This record from the Alexandria database describes a relaxed Nd2Ni2Pt crystal. The functional is PBE-GGA.

The structure in POSCAR format:
```
Nd2Ni2Pt
1.0
4.176 0.000 0.000
2.088 5.302 -0.125
2.088 0.615 9.635
Nd Ni Pt
4 4 2
direct
0.695 0.252 0.359
0.904 0.294 0.897
0.305 0.748 0.641
0.096 0.706 0.103
0.039 0.339 0.583
0.620 0.861 0.899
0.961 0.661 0.417
0.380 0.139 0.101
0.580 0.156 0.684
0.420 0.844 0.316
```

Summary:
The density of states at the Fermi level is 7.82 states/eV/cell. As for the offset from the most stable computed form: 9.6 meV per atom. As for the crystal system: monoclinic. As for the total magnetization: 0.00 Bohr magnetons per cell. As for the formation energy: -0.5676 eV/atom.

---

19.
This record from the Alexandria database describes a relaxed Nd8NiPt2 crystal. The functional is PBE-GGA.

The structure in POSCAR format:
```
Nd8NiPt2
1.0
5.071 0.000 0.000
0.000 7.003 0.614
-2.535 -2.261 8.616
Nd Ni Pt
8 1 2
direct
0.412 0.555 0.824
0.663 0.968 0.326
0.796 0.668 0.592
0.968 0.219 0.936
0.204 0.332 0.408
0.337 0.032 0.674
0.588 0.445 0.176
0.032 0.781 0.064
0.500 0.000 0.000
0.801 0.259 0.603
0.199 0.741 0.397
```

Summary:
The density of states at the Fermi level is 10.98 states/eV/cell. As for the offset from the most stable computed form: 0.0 meV per atom. As for the crystal system: monoclinic. As for the total magnetization: 0.00 Bohr magnetons per cell. As for the formation energy: -0.4456 eV/atom.

---

20.
This record from the Alexandria database describes a relaxed Nd6Ni2Pt crystal. The functional is PBE-GGA.

The structure in POSCAR format:
```
Nd6Ni2Pt
1.0
-0.887 -5.370 -6.560
7.937 -0.157 3.104
-5.382 -2.382 6.166
Nd Ni Pt
12 4 2
direct
0.553 0.727 0.826
0.447 0.273 0.174
0.099 0.273 0.826
0.901 0.727 0.174
0.817 0.752 0.569
0.183 0.248 0.431
0.183 0.752 0.935
0.817 0.248 0.065
0.689 0.358 0.670
0.311 0.642 0.330
0.311 0.981 0.670
0.689 0.019 0.330
0.500 0.382 0.882
0.500 0.618 0.118
0.661 0.000 0.661
0.339 0.000 0.339
0.000 0.500 0.500
0.000 0.000 0.000
```

Summary:
The density of states at the Fermi level is 15.63 states/eV/cell. As for the crystal system: orthorhombic. As for the total magnetization: 0.00 Bohr magnetons per cell. As for the formation energy: -0.3827 eV/atom.